The following is a GGA-PBE calculation of crystalline SbRuRh4 at its relaxed geometry, from Alexandria.

## Properties
* uncorrected energy: -6.738 eV/atom
* uncorrected formation energy: 0.396 eV per atom

a = 7.305 Å, b = 7.305 Å, c = 7.305 Å
α = 90.00°, β = 90.00°, γ = 90.00°
Space group F-43m (No. 216)
Unique sites:
Sb1 0.000 0.000 0.000 x4
Ru1 0.250 0.250 0.750 x4
Rh1 0.125 0.125 0.375 x16